1.
! PBE-GGA K2Pa3S8Cl, relaxed; values from VASP
&SYSTEM
  ibrav = 0, nat = 14, ntyp = 4
/
ATOMIC_SPECIES
S 32.06 S.upf
K 39.10 K.upf
Pa 231.04 Pa.upf
Cl 35.45 Cl.upf
ATOMIC_POSITIONS crystal
S 0.275 0.275 0.175
K 0.502 0.502 0.495
Pa 0.503 0.996 0.998
S 0.242 0.242 0.824
S 0.724 0.724 0.827
Pa 0.996 0.503 0.998
Pa 0.503 0.503 0.998
S 0.242 0.692 0.824
K 0.137 0.137 0.590
S 0.692 0.242 0.824
S 0.764 0.764 0.165
S 0.307 0.764 0.165
Cl 0.842 0.842 0.474
S 0.764 0.307 0.165
CELL_PARAMETERS angstrom
-1.832 7.732 -1.618
-7.560 2.701 1.146
-1.265 5.499 7.388
! Symmetry ... R3m
! Raw formation energy ... -1.456 eV per atom

---

2.
! PBE-GGA K2PaTlCl8, relaxed; values from VASP
&SYSTEM
  ibrav = 0, nat = 12, ntyp = 4
/
ATOMIC_SPECIES
Cl 35.45 Cl.upf
K 39.10 K.upf
Tl 204.38 Tl.upf
Pa 231.04 Pa.upf
ATOMIC_POSITIONS crystal
Cl 0.175 0.820 0.813
K 0.500 0.500 0.725
K 0.500 0.500 0.275
Tl 0.000 0.000 0.500
Cl 0.266 0.256 0.000
Cl 0.695 0.706 0.500
Cl 0.825 0.180 0.813
Cl 0.305 0.294 0.500
Cl 0.175 0.820 0.187
Pa 0.000 0.000 0.000
Cl 0.734 0.744 0.000
Cl 0.825 0.180 0.187
CELL_PARAMETERS angstrom
7.031 -0.106 -0.003
-0.064 7.097 -0.007
0.007 0.012 9.770
! Symmetry ... P2/m
! Raw formation energy ... -1.728 eV per atom

---

3.
! PBE-GGA KPaTl2Cl8, relaxed; values from VASP
&SYSTEM
  ibrav = 0, nat = 12, ntyp = 4
/
ATOMIC_SPECIES
Tl 204.38 Tl.upf
Cl 35.45 Cl.upf
Pa 231.04 Pa.upf
K 39.10 K.upf
ATOMIC_POSITIONS crystal
Tl 0.500 0.500 0.729
Cl 0.128 0.794 0.804
Pa 0.000 0.000 0.000
Cl 0.337 0.280 0.500
K 0.000 0.000 0.500
Cl 0.872 0.206 0.196
Cl 0.685 0.812 0.000
Cl 0.315 0.188 0.000
Cl 0.872 0.206 0.804
Cl 0.128 0.794 0.196
Tl 0.500 0.500 0.271
Cl 0.663 0.720 0.500
CELL_PARAMETERS angstrom
6.985 -0.193 -0.004
-0.166 7.382 -0.008
0.005 0.012 9.409
! Symmetry ... P2/m
! Raw formation energy ... -1.603 eV per atom